CaZr2Mo after structural relaxation, computed with PBE-GGA.

Cell lengths 4.830, 4.830, 3.774 Å; angles 90.00, 90.00, 90.00 degrees
Space group P4/mmm (No. 123)
Unique sites:
Ca1 0.000 0.000 0.000 [1 per cell]
Zr1 0.000 0.500 0.500 [2 per cell]
Mo1 0.500 0.500 0.000 [1 per cell]

* VASP energy: -28.0 eV per formula unit
* ρ: 6.0 Mg/m³
* magnetic moment: 0.000 μB per formula unit
* formation energy: 0.492 eV/atom
* N(E_F): 6.31 states/eV/f.u.
* polymorph energy (0 for the lowest one): 366.9 meV per atom